GGA-PBE TlBiSeS2, optimized geometry; V = 30.77 A^3/atom; E_tot = -14.0 eV/f.u.; total magnetization = 0.94 μB per formula unit; uncorrected formation energy = 802 meV per atom; space group = P4/mmm
1.0
-0.8149 2.7821 4.0015
-3.0373 -4.8030 2.7209
4.2518 -1.5771 1.9624
S Tl Bi Se
2 1 1 1
direct
0.0000 0.0000 0.5000
0.5000 0.0000 0.0000
0.0000 0.0000 0.0000
0.0000 0.5000 0.0000
0.5000 0.5000 0.5000

GGA-PBE Sr4Ce3PaN8, optimized geometry; V = 17.33 A^3/atom; E_tot = -120.9 eV/f.u.; total magnetization = 0.96 μB per formula unit; uncorrected formation energy = -1265 meV per atom; space group = R-3m
1.0
-0.6667 3.5879 6.3253
-6.4244 2.7497 -2.2368
1.0596 -7.2252 -0.0053
Sr Ce Pa N
4 3 1 8
direct
0.5000 0.0000 0.0000
0.5000 0.0000 0.5000
0.0000 0.0000 0.0000
0.0000 0.0000 0.5000
0.5000 0.5000 0.0000
0.5000 0.5000 0.5000
0.0000 0.5000 0.5000
0.0000 0.5000 0.0000
0.2275 0.7037 0.9762
0.2275 0.7037 0.4550
0.2652 0.2957 0.5304
0.7487 0.7037 0.9762
0.2513 0.2963 0.0238
0.7348 0.7043 0.4696
0.7725 0.2963 0.5450
0.7725 0.2963 0.0238